Entry 1:
A plane-wave DFT calculation with PBE-GGA was carried out for crystalline Zn2Ag2Pb at its relaxed geometry.

Magnetic moment in μB per cell: 0.000
DFT formation energy in kJ/mol of atoms: 7.0
Volume in Å³/cell: 101.2
Excess energy over the best structure of this formula in the dataset in kJ/mol of formula units: 8
Uncorrected energy in eV per atom: -2.32

Lattice parameters (Å, degrees): 7.390 7.390 7.390 149.90 149.90 43.09
Fractional coordinates of all 5 atoms:
Zn: 0.250 0.750 0.500
Zn: 0.750 0.250 0.500
Ag: 0.109 0.109 0.000
Ag: 0.891 0.891 0.000
Pb: 0.500 0.500 0.000

Entry 2:
A plane-wave DFT calculation with PBE-GGA was carried out for crystalline Hf2SiHg at its relaxed geometry.

Magnetic moment in μB per cell: 0.000
ΔE_f (raw) in eV/f.u.: -0.33
Volume in Å³/cell: 77.8
Excess energy over the best structure of this formula in the dataset in kJ/mol of formula units: 0
Uncorrected energy in eV per atom: -6.49

Lattice parameters (Å, degrees): 4.792 4.792 4.792 60.00 60.00 60.00
Fractional coordinates of all 4 atoms:
Hf: 0.250 0.250 0.250
Hf: 0.750 0.750 0.750
Si: 0.000 0.000 0.000
Hg: 0.500 0.500 0.500

It is found that the DOS(E_F) values, taken in the order of the records, are 1.5; 5.2 states/eV per cell.